Record 1
Crystalline MgCrNi2Sb at its relaxed geometry. Source: Alexandria, functional PBE-GGA.

Summary:
As for the raw formation energy: 1003 meV/atom.

Cell lengths 4.4153, 4.4153, 4.7626 Å; angles 90.00, 90.00, 90.00 degrees
With the nearest neighbours (Å) after each atom.
Atoms (fractional coordinates):
Mg (0.0000, 0.0000, 0.0000)  4 Ni 2.21, 2 Cr 2.38
Cr (0.0000, 0.0000, 0.5000)  2 Mg 2.38
Ni (0.0000, 0.5000, 0.0000)  2 Mg 2.21
Ni (0.5000, 0.0000, 0.0000)  2 Mg 2.21
Sb (0.5000, 0.5000, 0.5000)  4 Cr 3.12, 8 Ni 3.25

Record 2
Crystalline Ba3Mg4Cd4 at its relaxed geometry. Source: Alexandria, functional PBE-GGA.

Summary:
The formation enthalpy at 0 K is -17.1 kJ/mol of atoms.

Cell lengths 7.7735, 7.7735, 7.7735 Å; angles 109.47, 109.47, 109.47 degrees
With the nearest neighbours (Å) after each atom.
Atoms (fractional coordinates):
Ba (0.0000, 0.5000, 0.5000)  4 Cd 3.69, 4 Mg 3.72
Ba (0.5000, 0.0000, 0.5000)  4 Cd 3.69, 4 Mg 3.72
Ba (0.5000, 0.5000, 0.0000)  4 Cd 3.69, 4 Mg 3.72
Mg (0.0000, 0.0000, 0.7500)  4 Cd 2.79-3.02
Mg (0.0000, 0.7500, 0.0000)  4 Cd 2.79-3.02
Mg (0.2500, 0.2500, 0.2500)  4 Cd 2.79-3.02
Mg (0.7500, 0.0000, 0.0000)  4 Cd 2.79-3.02
Cd (0.0000, 0.0000, 0.3916)  4 Mg 2.79-3.02
Cd (0.0000, 0.3916, 0.0000)  4 Mg 2.79-3.02
Cd (0.3916, 0.0000, 0.0000)  4 Mg 2.79-3.02
Cd (0.6084, 0.6084, 0.6084)  4 Mg 2.79-3.02

Record 3
Crystalline RbSiB3 at its relaxed geometry. Source: Alexandria, functional PBE-GGA.

Summary:
As for the raw formation energy: 1600 meV/atom.

Cell lengths 4.2709, 4.2709, 4.2709 Å; angles 90.00, 90.00, 90.00 degrees
With the nearest neighbours (Å) after each atom.
Atoms (fractional coordinates):
Rb (0.0000, 0.0000, 0.0000)  12 B 3.02
Si (0.5000, 0.5000, 0.5000)  6 B 2.14
B (0.0000, 0.5000, 0.5000)  2 Si 2.14
B (0.5000, 0.0000, 0.5000)  2 Si 2.14
B (0.5000, 0.5000, 0.0000)  2 Si 2.14

Record 4
Crystalline In2MoPt at its relaxed geometry. Source: Alexandria, functional PBE-GGA.

Summary:
The formation enthalpy at 0 K is 11.7 kJ/mol of atoms.

Cell lengths 3.0583, 3.0583, 28.3023 Å; angles 90.00, 90.00, 120.00 degrees
With the nearest neighbours (Å) after each atom.
Atoms (fractional coordinates):
In (0.0000, 0.0000, 0.0000)  3 Mo 2.96, 9 In 3.06-3.23
In (0.0000, 0.0000, 0.2380)  3 Pt 2.91, 9 In 3.06-3.23
In (0.3333, 0.6667, 0.6667)  3 Mo 2.96, 9 In 3.06-3.23
In (0.3333, 0.6667, 0.9046)  3 Pt 2.91, 9 In 3.06-3.23
In (0.6667, 0.3333, 0.3333)  3 Mo 2.96, 9 In 3.06-3.23
In (0.6667, 0.3333, 0.5713)  3 Pt 2.91, 9 In 3.06-3.23
Mo (0.0000, 0.0000, 0.7506)  3 Pt 2.71, 3 In 2.96
Mo (0.3333, 0.6667, 0.4173)  3 Pt 2.71, 3 In 2.96
Mo (0.6667, 0.3333, 0.0839)  3 Pt 2.71, 3 In 2.96
Pt (0.0000, 0.0000, 0.4897)  3 Mo 2.71, 3 In 2.91
Pt (0.3333, 0.6667, 0.1564)  3 Mo 2.71, 3 In 2.91
Pt (0.6667, 0.3333, 0.8230)  3 Mo 2.71, 3 In 2.91

Record 5
Crystalline MgZnTeC2 at its relaxed geometry. Source: Alexandria, functional PBE-GGA.

Summary:
As for the raw formation energy: 2095 meV/atom.

Cell lengths 4.2664, 4.2664, 5.3284 Å; angles 90.00, 90.00, 90.00 degrees
With the nearest neighbours (Å) after each atom.
Atoms (fractional coordinates):
Mg (0.0000, 0.0000, 0.0000)  4 Zn 3.02
Zn (0.5000, 0.5000, 0.0000)  2 Te 2.66
Te (0.5000, 0.5000, 0.5000)  4 C 2.13
C (0.0000, 0.5000, 0.5000)  2 Te 2.13
C (0.5000, 0.0000, 0.5000)  2 Te 2.13

Record 6
Crystalline DyPa2S4 at its relaxed geometry. Source: Alexandria, functional PBE-GGA.

Summary:
As for the raw formation energy: -1657 meV/atom.

Cell lengths 6.6447, 6.6447, 13.4030 Å; angles 90.00, 90.00, 147.52 degrees
With the nearest neighbours (Å) after each atom.
Atoms (fractional coordinates):
Dy (0.1158, 0.8842, 0.7500)  6 S 2.76-2.77
Dy (0.8842, 0.1158, 0.2500)  6 S 2.76-2.77
Pa (0.3579, 0.6421, 0.5641)  6 S 2.74-2.78
Pa (0.3579, 0.6421, 0.9359)  6 S 2.74-2.78
Pa (0.6421, 0.3579, 0.0641)  6 S 2.74-2.78
Pa (0.6421, 0.3579, 0.4359)  6 S 2.74-2.78
S (0.0000, 0.0000, 0.0000)  4 Pa 2.74
S (0.0000, 0.0000, 0.5000)  4 Pa 2.74
S (0.2851, 0.7149, 0.1305)  3 Pa 2.75-2.77, 2 Dy 2.76
S (0.2851, 0.7149, 0.3695)  3 Pa 2.75-2.77, 2 Dy 2.76
S (0.4548, 0.5452, 0.7500)  2 Dy 2.77, 2 Pa 2.78
S (0.5452, 0.4548, 0.2500)  2 Dy 2.77, 2 Pa 2.78
S (0.7149, 0.2851, 0.6305)  3 Pa 2.75-2.77, 2 Dy 2.76
S (0.7149, 0.2851, 0.8695)  3 Pa 2.75-2.77, 2 Dy 2.76

Record 7
Crystalline Na3HgS at its relaxed geometry. Source: Alexandria, functional PBE-GGA.

Summary:
As for the raw formation energy: -571 meV/atom.

Cell lengths 5.3603, 5.3603, 5.3603 Å; angles 90.00, 90.00, 90.00 degrees
With the nearest neighbours (Å) after each atom.
Atoms (fractional coordinates):
Na (0.0000, 0.0000, 0.5000)  2 S 2.68
Na (0.0000, 0.5000, 0.0000)  2 S 2.68
Na (0.5000, 0.0000, 0.0000)  2 S 2.68
Hg (0.5000, 0.5000, 0.5000)  12 Na 3.79
S (0.0000, 0.0000, 0.0000)  6 Na 2.68

Record 8
Crystalline Sr2CoMo at its relaxed geometry. Source: Alexandria, functional PBE-GGA.

Summary:
The formation enthalpy at 0 K is 109.0 kJ/mol of atoms.

Cell lengths 7.5698, 7.5698, 7.5698 Å; angles 90.00, 90.00, 90.00 degrees
With the nearest neighbours (Å) after each atom.
Atoms (fractional coordinates):
Sr (0.2500, 0.2500, 0.2500)  4 Mo 3.28, 4 Co 3.28
Sr (0.2500, 0.2500, 0.7500)  4 Mo 3.28, 4 Co 3.28
Sr (0.2500, 0.7500, 0.2500)  4 Mo 3.28, 4 Co 3.28
Sr (0.2500, 0.7500, 0.7500)  4 Mo 3.28, 4 Co 3.28
Sr (0.7500, 0.2500, 0.2500)  4 Mo 3.28, 4 Co 3.28
Sr (0.7500, 0.2500, 0.7500)  4 Mo 3.28, 4 Co 3.28
Sr (0.7500, 0.7500, 0.2500)  4 Mo 3.28, 4 Co 3.28
Sr (0.7500, 0.7500, 0.7500)  4 Mo 3.28, 4 Co 3.28
Co (0.0000, 0.0000, 0.0000)  8 Sr 3.28
Co (0.0000, 0.5000, 0.5000)  8 Sr 3.28
Co (0.5000, 0.0000, 0.5000)  8 Sr 3.28
Co (0.5000, 0.5000, 0.0000)  8 Sr 3.28
Mo (0.0000, 0.0000, 0.5000)  8 Sr 3.28
Mo (0.0000, 0.5000, 0.0000)  8 Sr 3.28
Mo (0.5000, 0.0000, 0.0000)  8 Sr 3.28
Mo (0.5000, 0.5000, 0.5000)  8 Sr 3.28

Record 9
Crystalline ZnNi2Ir at its relaxed geometry. Source: Alexandria, functional PBE-GGA.

Summary:
The formation enthalpy at 0 K is -0.1 kJ/mol of atoms.

Cell lengths 5.8708, 5.8708, 5.8708 Å; angles 90.00, 90.00, 90.00 degrees
With the nearest neighbours (Å) after each atom.
Atoms (fractional coordinates):
Zn (0.0000, 0.0000, 0.0000)  4 Ni 2.54, 4 Ir 2.54
Zn (0.0000, 0.5000, 0.5000)  4 Ni 2.54, 4 Ir 2.54
Zn (0.5000, 0.0000, 0.5000)  4 Ni 2.54, 4 Ir 2.54
Zn (0.5000, 0.5000, 0.0000)  4 Ni 2.54, 4 Ir 2.54
Ni (0.0000, 0.0000, 0.5000)  4 Ni 2.54, 4 Ir 2.54
Ni (0.0000, 0.5000, 0.0000)  4 Ni 2.54, 4 Ir 2.54
Ni (0.2500, 0.2500, 0.2500)  4 Ni 2.54, 4 Zn 2.54
Ni (0.2500, 0.7500, 0.7500)  4 Ni 2.54, 4 Zn 2.54
Ni (0.5000, 0.0000, 0.0000)  4 Ni 2.54, 4 Ir 2.54
Ni (0.5000, 0.5000, 0.5000)  4 Ni 2.54, 4 Ir 2.54
Ni (0.7500, 0.2500, 0.7500)  4 Ni 2.54, 4 Zn 2.54
Ni (0.7500, 0.7500, 0.2500)  4 Ni 2.54, 4 Zn 2.54
Ir (0.2500, 0.2500, 0.7500)  4 Ni 2.54, 4 Zn 2.54
Ir (0.2500, 0.7500, 0.2500)  4 Ni 2.54, 4 Zn 2.54
Ir (0.7500, 0.2500, 0.2500)  4 Ni 2.54, 4 Zn 2.54
Ir (0.7500, 0.7500, 0.7500)  4 Ni 2.54, 4 Zn 2.54

Record 10
Crystalline LiCSe2N at its relaxed geometry. Source: Alexandria, functional PBE-GGA.

Summary:
As for the raw formation energy: 340 meV/atom.

Cell lengths 5.8617, 5.8617, 2.4946 Å; angles 90.00, 90.00, 90.00 degrees
With the nearest neighbours (Å) after each atom.
Atoms (fractional coordinates):
Li (0.0000, 0.0000, 0.0000)  2 Li 2.49
C (0.5000, 0.5000, 0.5000)  2 N 1.25
Se (0.0000, 0.5000, 0.5000)  2 Se 2.49
Se (0.5000, 0.0000, 0.5000)  2 Se 2.49
N (0.5000, 0.5000, 0.0000)  2 C 1.25

Record 11
Crystalline SrAcGe2 at its relaxed geometry. Source: Alexandria, functional PBE-GGA.

Summary:
The formation enthalpy at 0 K is -46.7 kJ/mol of atoms.

Cell lengths 3.6598, 3.6598, 8.6188 Å; angles 90.00, 90.00, 90.00 degrees
With the nearest neighbours (Å) after each atom.
Atoms (fractional coordinates):
Sr (0.0000, 0.0000, 0.0000)  8 Ge 3.37, 4 Sr 3.66
Ac (0.0000, 0.0000, 0.5000)  8 Ge 3.36, 4 Ac 3.66
Ge (0.5000, 0.5000, 0.2513)  4 Ac 3.36, 4 Sr 3.37, 4 Ge 3.66
Ge (0.5000, 0.5000, 0.7487)  4 Ac 3.36, 4 Sr 3.37, 4 Ge 3.66

Record 12
Crystalline Pa2VFe at its relaxed geometry. Source: Alexandria, functional PBE-GGA.

Summary:
The formation enthalpy at 0 K is 21.6 kJ/mol of atoms.

Cell lengths 4.4899, 4.4899, 13.1151 Å; angles 90.00, 90.00, 120.00 degrees
With the nearest neighbours (Å) after each atom.
Atoms (fractional coordinates):
Pa (0.0000, 0.0000, 0.2483)  3 Fe 2.80, 3 V 2.82
Pa (0.0000, 0.0000, 0.7517)  3 Fe 2.80, 3 V 2.82
Pa (0.3333, 0.6667, 0.4184)  3 Fe 2.80, 3 V 2.82
Pa (0.3333, 0.6667, 0.9149)  3 Fe 2.80, 3 V 2.82
Pa (0.6667, 0.3333, 0.0851)  3 Fe 2.80, 3 V 2.82
Pa (0.6667, 0.3333, 0.5816)  3 Fe 2.80, 3 V 2.82
V (0.0000, 0.0000, 0.0000)  6 Pa 2.82
V (0.3333, 0.6667, 0.6667)  6 Pa 2.82
V (0.6667, 0.3333, 0.3333)  6 Pa 2.82
Fe (0.0000, 0.0000, 0.5000)  6 Pa 2.80
Fe (0.3333, 0.6667, 0.1667)  6 Pa 2.80
Fe (0.6667, 0.3333, 0.8333)  6 Pa 2.80

Record 13
Crystalline Ta6Fe5Mo at its relaxed geometry. Source: Alexandria, functional PBE-GGA.

Summary:
The formation enthalpy at 0 K is -14.3 kJ/mol of atoms.

Cell lengths 4.3791, 6.1941, 6.9016 Å; angles 90.00, 108.40, 90.00 degrees
With the nearest neighbours (Å) after each atom.
Atoms (fractional coordinates):
Ta (0.0000, 0.2446, 0.0000)  6 Fe 2.66-2.72, 2 Mo 2.70
Ta (0.0000, 0.7554, 0.0000)  6 Fe 2.66-2.72, 2 Mo 2.70
Ta (0.3311, 0.2474, 0.6622)  7 Fe 2.64-2.69, 1 Mo 2.71
Ta (0.3311, 0.7526, 0.6622)  7 Fe 2.64-2.69, 1 Mo 2.71
Ta (0.6689, 0.2474, 0.3378)  7 Fe 2.64-2.69, 1 Mo 2.71
Ta (0.6689, 0.7526, 0.3378)  7 Fe 2.64-2.69, 1 Mo 2.71
Fe (0.1667, 0.0000, 0.3337)  8 Ta 2.64-2.67
Fe (0.1685, 0.5000, 0.3378)  8 Ta 2.64-2.72
Fe (0.5000, 0.0000, 0.0000)  8 Ta 2.66-2.69
Fe (0.8315, 0.5000, 0.6622)  8 Ta 2.64-2.72
Fe (0.8333, 0.0000, 0.6663)  8 Ta 2.64-2.67
Mo (0.5000, 0.5000, 0.0000)  8 Ta 2.70-2.71